w.
Entry from Alexandria: a relaxed WIF2 crystal (PBE+U).

Unit cell a=4.5941 b=4.5941 c=4.5941 alpha=60.00 beta=60.00 gamma=60.00
Closest atoms and distances in Å follow each position.
Positions (direct):
W (0.0000, 0.0000, 0.0000)  8 F 2.81
I (0.5000, 0.5000, 0.5000)  8 F 2.81
F (0.2500, 0.2500, 0.2500)  4 W 2.81, 4 I 2.81
F (0.7500, 0.7500, 0.7500)  4 W 2.81, 4 I 2.81

Calculated values
Total moment (μB/cell): 3.000
Symmetry: Fm-3m, No. 225

x.
Entry from Alexandria: a relaxed WIF2 crystal (PBE+U).

Unit cell a=11.0851 b=11.0851 c=11.0851 alpha=16.28 beta=16.28 gamma=16.28
Closest atoms and distances in Å follow each position.
Positions (direct):
W (0.0000, 0.0000, 0.0000)  2 F 1.87
I (0.5000, 0.5000, 0.5000)  6 I 3.14
F (0.0571, 0.0571, 0.0571)  1 W 1.87
F (0.9429, 0.9429, 0.9429)  1 W 1.87

Calculated values
Total moment (μB/cell): 0.000
Symmetry: R-3m, No. 166

It comes down to x, which is 52.0 kJ/mol of atoms more stable than the next structure.

w.
Entry from Alexandria: a relaxed WI2F2 crystal (PBE+U).

Unit cell a=6.1470 b=6.1470 c=7.6005 alpha=90.00 beta=90.00 gamma=90.00
Closest atoms and distances in Å follow each position.
Positions (direct):
W (0.0000, 0.0000, 0.0000)  4 F 2.17
W (0.5000, 0.5000, 0.0000)  4 F 2.17
I (0.1910, 0.3090, 0.5000)  5 I 3.16-3.32
I (0.3090, 0.8090, 0.5000)  5 I 3.16-3.32
I (0.6910, 0.1910, 0.5000)  5 I 3.16-3.32
I (0.8090, 0.6910, 0.5000)  5 I 3.16-3.32
F (0.2433, 0.7433, 0.0000)  2 W 2.17
F (0.2567, 0.2433, 0.0000)  2 W 2.17
F (0.7433, 0.7567, 0.0000)  2 W 2.17
F (0.7567, 0.2567, 0.0000)  2 W 2.17

Calculated values
Total moment (μB/cell): 7.878
Symmetry: P4/mbm, No. 127

x.
Entry from Alexandria: a relaxed WI2F2 crystal (PBE+U).

Unit cell a=5.8504 b=5.8504 c=5.8504 alpha=107.66 beta=107.66 gamma=113.15
Closest atoms and distances in Å follow each position.
Positions (direct):
W (0.0000, 0.0000, 0.0000)  2 F 1.87
I (0.2500, 0.7500, 0.5000)  2 I 3.22, 4 F 3.46
I (0.7500, 0.2500, 0.5000)  2 I 3.22, 4 F 3.46
F (0.2904, 0.2904, 0.0000)  1 W 1.87
F (0.7096, 0.7096, 0.0000)  1 W 1.87

Calculated values
Total moment (μB/cell): 2.891
Symmetry: I4/mmm, No. 139

It comes down to w, which is 9.5 kJ/mol of atoms more stable than the next structure.